The following is a DFT calculation (PBE) of crystalline BaCdB3 at its relaxed geometry.

* formation energy: 1.6374 eV per atom
* total energy: -14.7 eV/f.u.
* space group: No. 221
* energy relative to the lowest polymorph listed for this composition: 0.00 eV/f.u.
* crystal system: cubic

Cell: 4.621 4.621 4.621 Å, 90.00 90.00 90.00°
Positions (direct):
1 Ba 0.000 0.000 0.000
2 Cd 0.500 0.500 0.500
3 B 0.000 0.500 0.500
4 B 0.500 0.000 0.500
5 B 0.500 0.500 0.000

The following is a DFT calculation (PBE) of crystalline Pr8Ho3Er4 at its relaxed geometry.

* formation energy: 0.3328 eV per atom
* total energy: -65.2 eV/f.u.
* space group: No. 12
* crystal system: monoclinic

Cell: 9.241 9.241 6.907 Å, 110.67 110.67 82.95°
Positions (direct):
1 Pr 0.205 0.205 0.182
2 Pr 0.206 0.794 0.000
3 Pr 0.254 0.746 0.500
4 Pr 0.256 0.256 0.721
5 Pr 0.744 0.744 0.279
6 Pr 0.746 0.254 0.500
7 Pr 0.794 0.206 0.000
8 Pr 0.795 0.795 0.818
9 Ho 0.000 0.000 0.500
10 Ho 0.000 0.500 0.500
11 Ho 0.500 0.000 0.500
12 Er 0.000 0.500 0.000
13 Er 0.500 0.000 0.000
14 Er 0.500 0.500 0.000
15 Er 0.500 0.500 0.500

The following is a DFT calculation (PBE) of crystalline LaFeCuB2 at its relaxed geometry.

* formation energy: 0.7224 eV per atom
* total energy: -27.2 eV/f.u.
* space group: No. 123
* crystal system: tetragonal

Cell: 3.993 3.993 4.641 Å, 90.00 90.00 90.00°
Positions (direct):
1 La 0.000 0.000 0.000
2 Fe 0.500 0.500 0.000
3 Cu 0.500 0.500 0.500
4 B 0.000 0.500 0.500
5 B 0.500 0.000 0.500

The following is a DFT calculation (PBE) of crystalline Hg2PbBr at its relaxed geometry.

* total energy: -6.8 eV/f.u.
* space group: No. 12
* uncorrected formation energy: -0.203 eV/atom
* energy relative to the lowest polymorph listed for this composition: 0.03 eV/f.u.
* crystal system: monoclinic

Cell: 6.917 6.917 5.094 Å, 111.55 111.55 32.56°
Positions (direct):
1 Hg 0.219 0.219 0.218
2 Hg 0.781 0.781 0.782
3 Pb 0.500 0.500 0.000
4 Br 0.000 0.000 0.500

The following is a DFT calculation (PBE) of crystalline SrPaPtO5 at its relaxed geometry.

* total energy: -60.2 eV/f.u.
* space group: No. 15
* uncorrected formation energy: -2.277 eV/atom
* crystal system: monoclinic

Cell: 6.067 6.067 8.190 Å, 99.30 99.30 116.35°
Positions (direct):
1 Sr 0.187 0.813 0.750
2 Sr 0.813 0.187 0.250
3 Pa 0.500 0.500 0.000
4 Pa 0.500 0.500 0.500
5 Pt 0.160 0.840 0.250
6 Pt 0.840 0.160 0.750
7 O 0.126 0.159 0.912
8 O 0.159 0.126 0.412
9 O 0.275 0.680 0.420
10 O 0.320 0.725 0.080
11 O 0.428 0.572 0.750
12 O 0.572 0.428 0.250
13 O 0.680 0.275 0.920
14 O 0.725 0.320 0.580
15 O 0.841 0.874 0.588
16 O 0.874 0.841 0.088

The following is a DFT calculation (PBE) of crystalline Ba2OsSe at its relaxed geometry.

* total energy: -16.8 eV/f.u.
* space group: No. 216
* uncorrected formation energy: 0.433 eV/atom
* crystal system: cubic

Cell: 5.407 5.407 5.407 Å, 60.00 60.00 60.00°
Positions (direct):
1 Ba 0.000 0.000 0.000
2 Ba 0.250 0.250 0.250
3 Os 0.500 0.500 0.500
4 Se 0.750 0.750 0.750

The following is a DFT calculation (PBE) of crystalline CuIr at its relaxed geometry.

* formation energy: 0.0764 eV per atom
* total energy: -12.8 eV/f.u.
* space group: No. 59
* crystal system: orthorhombic

Cell: 2.696 4.389 4.570 Å, 90.00 90.00 90.00°
Positions (direct):
1 Cu 0.250 0.250 0.071
2 Cu 0.750 0.750 0.929
3 Ir 0.250 0.750 0.428
4 Ir 0.750 0.250 0.572

The following is a DFT calculation (PBE) of crystalline TiV2In at its relaxed geometry.

* formation energy: 0.0882 eV per atom
* total energy: -28.5 eV/f.u.
* space group: No. 123
* crystal system: tetragonal

Cell: 3.244 3.244 6.199 Å, 90.00 90.00 90.00°
Positions (direct):
1 Ti 0.000 0.000 0.000
2 V 0.500 0.500 0.214
3 V 0.500 0.500 0.786
4 In 0.000 0.000 0.500

The following is a DFT calculation (PBE) of crystalline CuSiAg2F6 at its relaxed geometry.

* total energy: -45.2 eV/f.u.
* space group: No. 2
* uncorrected formation energy: -1.874 eV/atom
* crystal system: triclinic

Cell: 4.913 5.278 5.826 Å, 101.98 97.11 100.56°
Positions (direct):
1 Cu 0.000 0.000 0.000
2 Si 0.000 0.500 0.500
3 Ag 0.495 0.849 0.159
4 Ag 0.505 0.151 0.841
5 F 0.114 0.323 0.250
6 F 0.196 0.787 0.465
7 F 0.278 0.460 0.682
8 F 0.722 0.540 0.318
9 F 0.804 0.213 0.535
10 F 0.886 0.677 0.750

The following is a DFT calculation (PBE) of crystalline PrCuSi at its relaxed geometry.

* total energy: -16.1 eV/f.u.
* space group: No. 194
* uncorrected formation energy: -0.602 eV/atom
* crystal system: hexagonal

Cell: 4.234 4.234 8.024 Å, 90.00 90.00 120.00°
Positions (direct):
1 Pr 0.000 0.000 0.000
2 Pr 0.000 0.000 0.500
3 Cu 0.333 0.667 0.250
4 Cu 0.667 0.333 0.750
5 Si 0.333 0.667 0.750
6 Si 0.667 0.333 0.250

The following is a DFT calculation (PBE) of crystalline Ba8InRh2 at its relaxed geometry.

* formation energy: 0.0064 eV per atom
* total energy: -32.8 eV/f.u.
* space group: No. 2
* crystal system: triclinic

Cell: 6.611 10.284 10.296 Å, 60.04 89.98 90.00°
Positions (direct):
1 Ba 0.243 0.327 0.344
2 Ba 0.243 0.329 0.827
3 Ba 0.243 0.844 0.829
4 Ba 0.254 0.833 0.334
5 Ba 0.746 0.167 0.666
6 Ba 0.757 0.156 0.171
7 Ba 0.757 0.671 0.173
8 Ba 0.757 0.673 0.656
9 In 0.500 0.500 0.000
10 Rh 0.271 0.167 0.666
11 Rh 0.729 0.833 0.334

The following is a DFT calculation (PBE) of crystalline MgMnIr at its relaxed geometry.

* formation energy: -0.0779 eV per atom
* total energy: -19.9 eV/f.u.
* space group: No. 62
* crystal system: orthorhombic

Cell: 5.503 4.105 8.192 Å, 90.00 90.00 90.00°
Positions (direct):
1 Mg 0.150 0.250 0.074
2 Mg 0.350 0.750 0.574
3 Mg 0.650 0.250 0.426
4 Mg 0.850 0.750 0.926
5 Mn 0.083 0.250 0.728
6 Mn 0.417 0.750 0.228
7 Mn 0.583 0.250 0.772
8 Mn 0.917 0.750 0.272
9 Ir 0.148 0.250 0.402
10 Ir 0.352 0.750 0.902
11 Ir 0.648 0.250 0.098
12 Ir 0.852 0.750 0.598